Run a
Material: TlBr2F
Method: DFT, PBE
State: optimized geometry

The calculation puts the calculated volume at 492.1 Å³/cell.

a = 5.0110 Å, b = 5.0110 Å, c = 22.6297 Å
α = 90.00°, β = 90.00°, γ = 120.00°
Closest atoms and distances in Å follow each position.
Space group R-3m (No. 166, hexagonal axes)
One atom of each set of equivalent atoms:
Tl 0.0000 0.0000 0.0000 x3  6 Br 3.32
Br 0.0000 0.0000 0.4056 x6  1 F 2.14
F 0.0000 0.0000 0.5000 x3  2 Br 2.14


Run b
Material: TlBr2F
Method: DFT, PBE
State: optimized geometry

The calculation puts the calculated volume at 351.1 Å³/cell.

a = 7.0549 Å, b = 7.0549 Å, c = 7.0549 Å
α = 90.00°, β = 90.00°, γ = 90.00°
Closest atoms and distances in Å follow each position.
Space group Fm-3m (No. 225)
One atom of each set of equivalent atoms:
Tl 0.0000 0.0000 0.0000 x4  8 Br 3.05
Br 0.2500 0.2500 0.2500 x8  4 F 3.05, 4 Tl 3.05
F 0.0000 0.0000 0.5000 x4  8 Br 3.05


Stability summary: most stable run a, least stable run b.


Run a
Material: TlBr2F
Method: DFT, PBE
State: optimized geometry

The calculation puts the calculated volume at 243.5 Å³/cell.

a = 3.9669 Å, b = 4.5113 Å, c = 13.6078 Å
α = 90.00°, β = 90.00°, γ = 90.00°
Closest atoms and distances in Å follow each position.
Space group Immm (No. 71)
One atom of each set of equivalent atoms:
Tl 0.0000 0.0000 0.0000 x2  2 F 2.26
Br 0.0000 0.5000 0.3582 x4  2 Tl 2.77
F 0.0000 0.5000 0.0000 x2  2 Tl 2.26


Run b
Material: TlBr2F
Method: DFT, PBE
State: optimized geometry

The calculation puts the calculated volume at 413.3 Å³/cell.

a = 7.5756 Å, b = 7.5756 Å, c = 7.2013 Å
α = 90.00°, β = 90.00°, γ = 90.00°
Closest atoms and distances in Å follow each position.
Space group I-42d (No. 122)
One atom of each set of equivalent atoms:
Tl 0.0000 0.0000 0.0000 x4  4 Br 2.75
Br 0.2344 0.7500 0.1250 x8  2 Tl 2.75, 2 F 2.91
F 0.0000 0.0000 0.5000 x4  4 Br 2.91


Stability summary: most stable run a, least stable run b.


Run a
Material: Tl3BrF
Method: DFT, PBE
State: optimized geometry

The calculation puts the calculated volume at 157.1 Å³/cell.

a = 5.3958 Å, b = 5.3958 Å, c = 5.3958 Å
α = 90.00°, β = 90.00°, γ = 90.00°
Closest atoms and distances in Å follow each position.
Space group Pm-3m (No. 221)
One atom of each set of equivalent atoms:
Tl 0.0000 0.0000 0.5000 x3  2 F 2.70
Br 0.5000 0.5000 0.5000 x1  12 Tl 3.82
F 0.0000 0.0000 0.0000 x1  6 Tl 2.70


Run b
Material: Tl3BrF
Method: DFT, PBE
State: optimized geometry

The calculation puts the calculated volume at 236.5 Å³/cell.

a = 6.1841 Å, b = 6.1841 Å, c = 6.1841 Å
α = 90.00°, β = 90.00°, γ = 90.00°
Closest atoms and distances in Å follow each position.
Space group Pm-3m (No. 221)
One atom of each set of equivalent atoms:
Tl 0.0000 0.0000 0.5000 x3  2 Br 3.09
Br 0.0000 0.0000 0.0000 x1  6 Tl 3.09
F 0.5000 0.5000 0.5000 x1  12 Tl 4.37


Stability summary: most stable run a, least stable run b.


Run a
Material: TmBr2F
Method: DFT, PBE
State: optimized geometry

The calculation puts the calculated volume at 413.3 Å³/cell.

a = 3.9309 Å, b = 6.8130 Å, c = 15.4335 Å
α = 90.00°, β = 90.00°, γ = 90.00°
Closest atoms and distances in Å follow each position.
Space group Cmcm (No. 63)
One atom of each set of equivalent atoms:
Tm 0.0000 0.1740 0.2500 x4  3 F 2.27
Br 0.0000 0.1595 0.6251 x8  3 Tm 2.98, 3 F 2.98
F 0.0000 0.4928 0.7500 x4  3 Tm 2.27


Run b
Material: TmBr2F
Method: DFT, PBE
State: optimized geometry

The calculation puts the calculated volume at 252.7 Å³/cell.

a = 4.0504 Å, b = 4.2807 Å, c = 14.5762 Å
α = 90.00°, β = 90.00°, γ = 90.00°
Closest atoms and distances in Å follow each position.
Space group Immm (No. 71)
One atom of each set of equivalent atoms:
Tm 0.0000 0.0000 0.0000 x2  2 F 2.14
Br 0.0000 0.5000 0.3685 x4  2 Tm 2.79
F 0.0000 0.5000 0.0000 x2  2 Tm 2.14


Stability summary: most stable run b, least stable run a.